[1]
A relaxed Sr2Y crystal. Source: Alexandria, functional PBEsol.

## Properties
formation energy	0.23	eV/atom
crystal system	orthorhombic
excess energy over the best structure of this formula in the dataset	0.00	eV per formula unit

a = 3.826 Å, b = 5.544 Å, c = 6.811 Å
α = 114.02°, β = 106.31°, γ = 90.00°
Site moments in Bohr magnetons follow the coordinates.
Element x y z (fractional)
Sr  0.339  0.339  0.678  0.03
Y  0.000  0.000  0.000  0.16
Sr  0.661  0.661  0.322  0.03


[2]
A relaxed RbCu2SiIr crystal. Source: Alexandria, functional PBEsol.

## Properties
formation energy without anion corrections	2.66	eV/atom
crystal system	tetragonal

a = 4.541 Å, b = 4.541 Å, c = 5.066 Å
α = 90.00°, β = 90.00°, γ = 90.00°
Element x y z (fractional)
Rb  0.000  0.000  0.000
Ir  0.500  0.500  0.500
Si  0.000  0.000  0.500
Cu  0.000  0.500  0.000
Cu  0.500  0.000  0.000


[3]
A relaxed Sc2AsBr crystal. Source: Alexandria, functional PBEsol.

## Properties
formation energy without anion corrections	-0.97	eV/atom
crystal system	tetragonal

a = 3.376 Å, b = 3.376 Å, c = 6.934 Å
α = 90.00°, β = 90.00°, γ = 90.00°
Site moments in Bohr magnetons follow the coordinates.
Element x y z (fractional)
Sc  0.000  0.000  0.716  0.47
Sc  0.000  0.000  0.284  0.47
As  0.500  0.500  0.500  -0.03
Br  0.500  0.500  0.000  -0.01


[4]
A relaxed MgAu crystal. Source: Alexandria, functional PBEsol.

## Properties
formation energy	-0.45	eV/atom
crystal system	tetragonal

a = 3.550 Å, b = 3.550 Å, c = 5.716 Å
α = 90.00°, β = 90.00°, γ = 90.00°
Element x y z (fractional)
Mg  0.500  0.000  0.658
Au  0.500  0.000  0.151
Mg  0.000  0.500  0.342
Au  0.000  0.500  0.849


[5]
A relaxed Tl3SiAs crystal. Source: Alexandria, functional PBEsol.

## Properties
formation energy without anion corrections	0.54	eV/atom
crystal system	cubic

a = 5.152 Å, b = 5.152 Å, c = 5.152 Å
α = 90.00°, β = 90.00°, γ = 90.00°
Element x y z (fractional)
As  0.500  0.500  0.500
Tl  0.000  0.000  0.500
Si  0.000  0.000  0.000
Tl  0.500  0.000  0.000
Tl  0.000  0.500  0.000


[6]
A relaxed ScCd3 crystal. Source: Alexandria, functional PBEsol.

## Properties
formation energy	-0.17	eV/atom
crystal system	monoclinic

a = 3.070 Å, b = 4.686 Å, c = 5.910 Å
α = 90.00°, β = 100.79°, γ = 90.00°
Element x y z (fractional)
Cd  0.621  0.000  0.747
Cd  0.500  0.500  0.000
Sc  0.000  0.500  0.500
Cd  0.379  0.000  0.253


[7]
A relaxed BeHgOs2 crystal. Source: Alexandria, functional PBEsol.

## Properties
formation energy	0.70	eV/atom
crystal system	tetragonal
excess energy over the best structure of this formula in the dataset	1.94	eV per formula unit

a = 3.965 Å, b = 3.965 Å, c = 4.582 Å
α = 115.64°, β = 115.64°, γ = 90.00°
Element x y z (fractional)
Os  0.750  0.250  0.500
Be  0.500  0.500  0.000
Hg  0.250  0.750  0.500
Os  0.000  0.000  0.000


[8]
A relaxed Cd2WCl crystal. Source: Alexandria, functional PBEsol.

## Properties
formation energy without anion corrections	0.72	eV/atom
crystal system	orthorhombic
excess energy over the best structure of this formula in the dataset	0.90	eV per formula unit

a = 2.894 Å, b = 4.679 Å, c = 5.331 Å
α = 90.00°, β = 90.00°, γ = 90.00°
Element x y z (fractional)
Cl  0.500  0.000  0.500
Cd  0.500  0.500  0.000
W  0.000  0.500  0.500
Cd  0.000  0.000  0.000


Going through the records in order, we get N(E_F) values of 5.6 4.5 2.6 1.5 3.7 2.7 3.1 3.1 states/eV/cell.